Entry 1:
First-principles (PBE) data for a geometry-optimized Tb3ErTm structure, as listed in the Alexandria database.

abc: 9.2067 9.2081 7.4175
angles: 90.00 90.00 90.00
Element x y z (fractional)
Tb 0.8712 0.1287 0.5004
Er 0.0000 0.5000 0.0000
Er 0.5000 0.0000 0.0000
Tb 0.6705 0.3304 0.7500
Tm 0.3305 0.6705 0.7500
Tm 0.1695 0.1705 0.2500
Tb 0.3295 0.6696 0.2500
Tb 0.8712 0.1287 0.9996
Tm 0.6695 0.3295 0.2500
Tb 0.1705 0.1696 0.7500
Er 0.0000 0.5000 0.5000
Tb 0.8295 0.8304 0.2500
Er 0.5000 0.0000 0.5000
Tb 0.6288 0.6287 0.0004
Tb 0.1288 0.8713 0.4996
Tb 0.6288 0.6287 0.4996
Tb 0.1288 0.8713 0.0004
Tm 0.8305 0.8295 0.7500
Tb 0.3713 0.3713 0.5004
Tb 0.3713 0.3713 0.9996

Results
The value obtained for the density of states at the Fermi level is 15.5 states/eV per cell. As for the space group: Pnma (62). The distance to the lowest polymorph of the same formula comes out at 0.091 eV/atom.

Entry 2:
First-principles (PBE) data for a geometry-optimized Tb4ErTm2 structure, as listed in the Alexandria database.

abc: 3.4999 9.3360 8.4973
angles: 121.65 78.13 112.00
Element x y z (fractional)
Tb 0.8075 0.1677 0.7222
Tb 0.1925 0.8323 0.2778
Tb 0.4096 0.7063 0.5924
Tm 0.3590 0.4295 0.1408
Er 0.0000 0.0000 0.0000
Tm 0.6410 0.5705 0.8592
Tb 0.5904 0.2937 0.4076

Results
The value obtained for the density of states at the Fermi level is 11.4 states/eV per cell. As for the space group: C2/m (12). The distance to the lowest polymorph of the same formula comes out at 0.000 eV/atom.

Entry 3:
First-principles (PBE) data for a geometry-optimized Tb7Er6Tm16 structure, as listed in the Alexandria database.

abc: 10.9821 10.9821 10.9821
angles: 60.00 60.00 60.00
Element x y z (fractional)
Tm 0.9528 0.3491 0.3491
Tm 0.8754 0.3737 0.8754
Er 0.7287 0.2713 0.2713
Er 0.2713 0.7287 0.2713
Tb 0.0000 0.5000 0.5000
Tm 0.8754 0.8754 0.3737
Tm 0.3737 0.8754 0.8754
Tb 0.0000 0.0000 0.0000
Tb 0.5000 0.0000 0.0000
Tm 0.6263 0.1246 0.1246
Tm 0.0472 0.6509 0.6509
Er 0.2713 0.7287 0.7287
Tm 0.6509 0.0472 0.6509
Tm 0.6509 0.6509 0.6509
Tm 0.3491 0.3491 0.9528
Er 0.7287 0.7287 0.2713
Tb 0.0000 0.5000 0.0000
Tm 0.3491 0.3491 0.3491
Tb 0.5000 0.5000 0.0000
Tm 0.1246 0.6263 0.1246
Tm 0.1246 0.1246 0.1246
Tm 0.3491 0.9528 0.3491
Tm 0.8754 0.8754 0.8754
Tm 0.6509 0.6509 0.0472
Er 0.2713 0.2713 0.7287
Er 0.7287 0.2713 0.7287
Tm 0.1246 0.1246 0.6263
Tb 0.5000 0.0000 0.5000
Tb 0.0000 0.0000 0.5000

Results
The value obtained for the density of states at the Fermi level is 63.8 states/eV per cell. As for the space group: Fm-3m (225). Its total energy is -4.2646 eV/atom.

Entry 4:
First-principles (PBE) data for a geometry-optimized Tb7Er12Tm structure, as listed in the Alexandria database.

abc: 8.6456 8.6456 8.6456
angles: 98.15 98.15 98.15
Element x y z (fractional)
Tb 0.5893 0.8604 0.8601
Er 0.2617 0.7383 0.9999
Er 0.6003 0.1595 0.6000
Er 0.1595 0.6000 0.6003
Tb 0.8601 0.5893 0.8604
Er 0.3997 0.8405 0.4000
Tb 0.4107 0.1396 0.1399
Tm 0.0000 0.0000 0.0000
Er 0.2617 0.0001 0.7383
Tb 0.1399 0.4107 0.1396
Er 0.9999 0.2617 0.7383
Tb 0.1396 0.1399 0.4107
Tb 0.8604 0.8601 0.5893
Tb 0.5000 0.5000 0.5000
Er 0.7383 0.9999 0.2617
Er 0.8405 0.4000 0.3997
Er 0.7383 0.2617 0.0001
Er 0.6000 0.6003 0.1595
Er 0.0001 0.7383 0.2617
Er 0.4000 0.3997 0.8405

Results
The value obtained for the density of states at the Fermi level is 38.4 states/eV per cell. As for the space group: R-3m (166). The distance to the lowest polymorph of the same formula comes out at 0.000 eV/atom.

Entry 5:
First-principles (PBE) data for a geometry-optimized TbErTm3 structure, as listed in the Alexandria database.

abc: 9.4595 6.6042 6.1865
angles: 62.10 109.12 84.13
Element x y z (fractional)
Tm 0.0509 0.9488 0.4854
Tm 0.5489 0.4514 0.3153
Tb 0.8495 0.9514 0.8818
Tm 0.7497 0.4493 0.9166
Er 0.6494 0.9504 0.2830
Tm 0.2503 0.9508 0.0834
Tb 0.1505 0.4486 0.1182
Tm 0.9492 0.4511 0.5147
Er 0.3506 0.4496 0.7169
Tm 0.4509 0.9486 0.6847

Results
The value obtained for the density of states at the Fermi level is 17.4 states/eV per cell. As for the space group: P-1 (2). The distance to the lowest polymorph of the same formula comes out at 0.000 eV/atom.

Entry 6:
First-principles (PBE) data for a geometry-optimized Tb2Er6Tm5 structure, as listed in the Alexandria database.

abc: 3.5289 11.4885 19.8642
angles: 90.00 90.00 90.00
Element x y z (fractional)
Er 0.0000 0.4161 0.8684
Tm 0.5000 0.8015 0.0496
Tm 0.5000 0.1985 0.9504
Er 0.0000 0.4417 0.5806
Tm 0.5000 0.5923 0.2740
Tm 0.5000 0.3015 0.4504
Er 0.5000 0.3268 0.1324
Er 0.5000 0.6732 0.8676
Er 0.0000 0.0839 0.3684
Er 0.0000 0.0583 0.0806
Tm 0.5000 0.4077 0.7260
Tm 0.5000 0.6985 0.5496
Tb 0.0000 0.1652 0.7888
Tb 0.0000 0.6652 0.7112
Er 0.0000 0.5583 0.4194
Er 0.0000 0.9161 0.6316
Tm 0.5000 0.9077 0.7740
Tb 0.0000 0.8348 0.2112
Er 0.0000 0.9417 0.9194
Tm 0.5000 0.0923 0.2260
Er 0.0000 0.5839 0.1316
Tb 0.0000 0.3348 0.2888
Tm 0.5000 0.5000 0.0000
Er 0.5000 0.1732 0.6324
Tm 0.5000 0.0000 0.5000
Er 0.5000 0.8268 0.3676

Results
The value obtained for the density of states at the Fermi level is 31.4 states/eV per cell. As for the space group: Pbam (55). Its total energy is -4.4372 eV/atom.

Entry 7:
First-principles (PBE) data for a geometry-optimized TbEr12Tm6 structure, as listed in the Alexandria database.

abc: 8.4024 8.4024 8.4024
angles: 88.07 88.07 88.07
Element x y z (fractional)
Er 0.4354 0.7741 0.5439
Tm 0.3113 0.7444 0.9078
Er 0.7741 0.5439 0.4354
Er 0.0088 0.2088 0.3566
Er 0.2088 0.3566 0.0088
Tm 0.9078 0.3113 0.7444
Er 0.5646 0.2259 0.4561
Er 0.4561 0.5646 0.2259
Tm 0.0922 0.6887 0.2556
Er 0.7912 0.6434 0.9912
Tm 0.2556 0.0922 0.6887
Er 0.5439 0.4354 0.7741
Tb 0.0000 0.0000 0.0000
Er 0.6434 0.9912 0.7912
Er 0.9912 0.7912 0.6434
Er 0.3566 0.0088 0.2088
Tm 0.7444 0.9078 0.3113
Er 0.2259 0.4561 0.5646
Tm 0.6887 0.2556 0.0922

Results
The value obtained for the density of states at the Fermi level is 32.7 states/eV per cell. As for the space group: R-3 (148). The distance to the lowest polymorph of the same formula comes out at 0.000 eV/atom.

Entry 8:
First-principles (PBE) data for a geometry-optimized Tb5ErTm5 structure, as listed in the Alexandria database.

abc: 6.8808 9.3608 8.0438
angles: 115.15 53.53 121.29
Element x y z (fractional)
Er 0.0000 0.0000 0.0000
Tm 0.3248 0.7209 0.6469
Tm 0.6608 0.3094 0.7886
Tm 0.6752 0.2791 0.3531
Tb 0.2508 0.3462 0.3226
Tm 0.0000 0.0000 0.5000
Tb 0.1486 0.3584 0.8447
Tb 0.8514 0.6416 0.1553
Tm 0.3392 0.6906 0.2114
Tb 0.5000 0.0000 0.0000
Tb 0.7492 0.6538 0.6774

Results
The value obtained for the density of states at the Fermi level is 16.4 states/eV per cell. As for the space group: P-1 (2). The distance to the lowest polymorph of the same formula comes out at 0.000 eV/atom.

Entry 9:
First-principles (PBE) data for a geometry-optimized Tb5ErTm5 structure, as listed in the Alexandria database.

abc: 5.8472 9.7796 6.8939
angles: 110.53 90.00 107.39
Element x y z (fractional)
Tm 0.3771 0.7542 0.3763
Tb 0.8219 0.6438 0.0670
Tb 0.1781 0.3562 0.4239
Tb 0.8219 0.6438 0.5761
Er 0.0000 0.0000 0.0000
Tm 0.6686 0.3371 0.1692
Tm 0.3314 0.6629 0.8308
Tm 0.0000 0.0000 0.5000
Tb 0.5000 0.0000 0.0000
Tm 0.6229 0.2458 0.6237
Tb 0.1781 0.3562 0.9330

Results
The value obtained for the density of states at the Fermi level is 17.8 states/eV per cell. As for the space group: C2/m (12). The distance to the lowest polymorph of the same formula comes out at 0.134 eV/atom.

Entry 10:
First-principles (PBE) data for a geometry-optimized TbErTm structure, as listed in the Alexandria database.

abc: 7.5913 7.5913 7.5913
angles: 90.00 90.00 90.00
Element x y z (fractional)
Tm 0.4978 0.9978 0.5022
Er 0.2472 0.7472 0.7528
Tb 0.0022 0.9978 0.4978
Tm 0.9978 0.5022 0.4978
Tm 0.5022 0.4978 0.9978
Er 0.2528 0.2528 0.2528
Tb 0.4978 0.0022 0.9978
Tb 0.5022 0.5022 0.5022
Tb 0.9978 0.4978 0.0022
Tm 0.0022 0.0022 0.0022
Er 0.7528 0.2472 0.7472
Er 0.7472 0.7528 0.2472

Results
The value obtained for the density of states at the Fermi level is 9.6 states/eV per cell. As for the space group: P2_13 (198). The distance to the lowest polymorph of the same formula comes out at 0.700 eV/atom.

Entry 11:
First-principles (PBE) data for a geometry-optimized Tb8Er6Tm structure, as listed in the Alexandria database.

abc: 8.9611 8.9611 8.5588
angles: 58.43 58.43 60.00
Element x y z (fractional)
Tb 0.5769 0.5769 0.2693
Tm 0.0000 0.0000 0.0000
Er 0.2344 0.5408 0.1196
Er 0.7656 0.4592 0.8804
Tb 0.7456 0.7204 0.4237
Tb 0.4231 0.4231 0.7307
Tb 0.8897 0.2544 0.5763
Tb 0.2544 0.2796 0.5763
Er 0.4592 0.8947 0.8804
Tb 0.1103 0.7456 0.4237
Er 0.8947 0.7656 0.8804
Er 0.5408 0.1053 0.1196
Tb 0.2796 0.8897 0.5763
Er 0.1053 0.2344 0.1196
Tb 0.7204 0.1103 0.4237

Results
The value obtained for the density of states at the Fermi level is 23.6 states/eV per cell. As for the space group: R-3 (148). The distance to the lowest polymorph of the same formula comes out at 0.000 eV/atom.

Entry 12:
First-principles (PBE) data for a geometry-optimized Tb12ErTm5 structure, as listed in the Alexandria database.

abc: 14.9540 10.5821 4.9944
angles: 90.00 90.00 45.12
Element x y z (fractional)
Tb 0.9990 0.3337 0.9999
Tm 0.5000 0.0000 0.5000
Tb 0.6660 0.9999 0.0001
Tm 0.3335 0.3329 0.0000
Tb 0.3328 0.6662 0.9999
Tb 0.6673 0.3338 0.0001
Tb 0.1676 0.3331 0.4999
Tm 0.6665 0.6671 0.0000
Tb 0.8324 0.6669 0.5001
Er 0.0000 0.0000 0.0000
Tb 0.4994 0.3330 0.5001
Tb 0.0010 0.6663 0.0001
Tb 0.1659 0.0000 0.4999
Tm 0.8330 0.3340 0.5000
Tb 0.5006 0.6670 0.4999
Tm 0.1670 0.6660 0.5000
Tb 0.8341 0.0000 0.5001
Tb 0.3340 0.0001 0.9999

Results
The value obtained for the density of states at the Fermi level is 24.5 states/eV per cell. As for the space group: P2/m (10). Its total energy is -4.5625 eV/atom.

Entry 13:
First-principles (PBE) data for a geometry-optimized Tb2Er7Tm2 structure, as listed in the Alexandria database.

abc: 5.9611 7.9165 7.9165
angles: 92.00 74.05 74.05
Element x y z (fractional)
Tm 0.1954 0.5906 0.5906
Tb 0.5000 0.2152 0.7848
Er 0.0000 0.0000 0.0000
Er 0.1749 0.5897 0.0633
Er 0.8251 0.4103 0.9367
Er 0.5840 0.7677 0.7677
Tm 0.8046 0.4094 0.4094
Er 0.4160 0.2323 0.2323
Er 0.1749 0.0633 0.5897
Er 0.8251 0.9367 0.4103
Tb 0.5000 0.7848 0.2152

Results
The value obtained for the density of states at the Fermi level is 17.3 states/eV per cell. As for the space group: C2/m (12). Its total energy is -4.3909 eV/atom.

Entry 14:
First-principles (PBE) data for a geometry-optimized Tb4Er3Tm8 structure, as listed in the Alexandria database.

abc: 6.6237 9.1740 9.1740
angles: 88.09 111.23 111.23
Element x y z (fractional)
Tb 0.0000 0.0000 0.0000
Tm 0.0000 0.3623 0.6377
Tm 0.5226 0.2659 0.2659
Tm 0.4774 0.7341 0.7341
Er 0.5000 0.0000 0.5000
Tm 0.5000 0.2525 0.7475
Tb 0.0000 0.0000 0.5000
Tm 0.5000 0.7475 0.2525
Tm 0.0044 0.2676 0.2676
Er 0.5000 0.5000 0.5000
Tb 0.5000 0.0000 0.0000
Tm 0.0000 0.6377 0.3623
Tb 0.0000 0.5000 0.0000
Tm 0.9956 0.7324 0.7324
Er 0.5000 0.5000 0.0000

Results
The value obtained for the density of states at the Fermi level is 28.8 states/eV per cell. As for the space group: C2/m (12). The distance to the lowest polymorph of the same formula comes out at 0.266 eV/atom.

Entry 15:
First-principles (PBE) data for a geometry-optimized Tb2Er5Tm4 structure, as listed in the Alexandria database.

abc: 3.5050 7.8326 15.2568
angles: 84.06 125.11 102.98
Element x y z (fractional)
Tm 0.6822 0.5459 0.3637
Er 0.2285 0.1827 0.4549
Tm 0.0452 0.6365 0.0908
Tm 0.3178 0.4541 0.6363
Tm 0.9548 0.3635 0.9092
Tb 0.4086 0.7270 0.8179
Er 0.5000 0.0000 0.0000
Er 0.7715 0.8173 0.5451
Tb 0.5914 0.2730 0.1821
Er 0.1367 0.9082 0.2732
Er 0.8633 0.0918 0.7268

Results
The value obtained for the density of states at the Fermi level is 12.8 states/eV per cell. As for the space group: P-1 (2). The distance to the lowest polymorph of the same formula comes out at 0.000 eV/atom.

Entry 16:
First-principles (PBE) data for a geometry-optimized Tb2ErTm6 structure, as listed in the Alexandria database.

abc: 6.4470 9.4222 9.4222
angles: 96.00 80.80 80.80
Element x y z (fractional)
Tm 0.2295 0.4607 0.0604
Tm 0.3139 0.7779 0.9546
Tb 0.8711 0.3827 0.3341
Tm 0.7295 0.0604 0.4607
Tb 0.6289 0.6659 0.6173
Tm 0.6861 0.2221 0.0454
Tm 0.0033 0.2768 0.6502
Tm 0.7705 0.5393 0.9396
Tb 0.1289 0.6173 0.6659
Tm 0.9967 0.7232 0.3498
Tm 0.2705 0.9396 0.5393
Tm 0.8139 0.9546 0.7779
Tm 0.4967 0.3498 0.7232
Tm 0.5033 0.6502 0.2768
Er 0.2500 0.1188 0.8812
Tb 0.3711 0.3341 0.3827
Tm 0.1861 0.0454 0.2221
Er 0.7500 0.8812 0.1188

Results
The value obtained for the density of states at the Fermi level is 21.7 states/eV per cell. As for the space group: C2/c (15). The distance to the lowest polymorph of the same formula comes out at 0.084 eV/atom.

Entry 17:
First-principles (PBE) data for a geometry-optimized TbEr12Tm7 structure, as listed in the Alexandria database.

abc: 8.5565 8.5565 8.5565
angles: 95.12 95.12 95.12
Element x y z (fractional)
Tm 0.3511 0.0185 0.0815
Tm 0.5000 0.5000 0.5000
Er 0.2500 0.6844 0.8113
Er 0.4149 0.4763 0.1469
Tm 0.0185 0.0815 0.3511
Er 0.3156 0.1887 0.7500
Tb 0.0000 0.0000 0.0000
Tm 0.9815 0.9185 0.6489
Er 0.1469 0.4149 0.4763
Tm 0.6489 0.9815 0.9185
Er 0.6844 0.8113 0.2500
Tm 0.0815 0.3511 0.0185
Er 0.5851 0.5237 0.8531
Er 0.8113 0.2500 0.6844
Er 0.5237 0.8531 0.5851
Er 0.1887 0.7500 0.3156
Er 0.8531 0.5851 0.5237
Er 0.4763 0.1469 0.4149
Tm 0.9185 0.6489 0.9815
Er 0.7500 0.3156 0.1887

Results
The value obtained for the density of states at the Fermi level is 18.3 states/eV per cell. As for the space group: R-3 (148). The distance to the lowest polymorph of the same formula comes out at 0.000 eV/atom.